Crystalline SrFeCl4 at its relaxed geometry, computed with PBE-GGA.

Values from the calculation:
* uncorrected energy: -4.48 eV/atom
* space group: I4_1/amd
* ΔE_f (raw): -1.5622 eV/atom

Unit cell a=7.7798 b=7.7800 c=7.7798 alpha=73.88 beta=73.88 gamma=116.41
Element x y z (fractional)
Sr1 0.8750 0.6250 0.2500
Sr2 0.1250 0.3750 0.7500
Fe1 0.6250 0.8750 0.7500
Fe2 0.3750 0.1250 0.2500
Cl1 0.2557 0.6899 0.9342
Cl2 0.6240 0.6899 0.5658
Cl3 0.1899 0.1241 0.0658
Cl4 0.7443 0.3101 0.0658
Cl5 0.1899 0.7557 0.4342
Cl6 0.8101 0.8759 0.9342
Cl7 0.3760 0.3101 0.4342
Cl8 0.8101 0.2443 0.5658



Crystalline ThBeN2 at its relaxed geometry, computed with PBE-GGA.

Values from the calculation:
* uncorrected energy: -8.24 eV/atom
* space group: R-3m
* ΔE_f (raw): -1.2913 eV/atom

Unit cell a=3.8224 b=3.8224 c=5.6602 alpha=70.27 beta=70.27 gamma=60.00
Element x y z (fractional)
Be1 0.0000 0.0000 0.0000
Th1 0.5000 0.5000 0.5000
N1 0.0977 0.0977 0.7068
N2 0.9023 0.9023 0.2932



What did the first record say?
Crystalline SrFeCl4 at its relaxed geometry, computed with PBE-GGA.

Values from the calculation:
* uncorrected energy: -4.48 eV/atom
* space group: I4_1/amd
* ΔE_f (raw): -1.5622 eV/atom

Unit cell a=7.7798 b=7.7800 c=7.7798 alpha=73.88 beta=73.88 gamma=116.41
Element x y z (fractional)
Sr1 0.8750 0.6250 0.2500
Sr2 0.1250 0.3750 0.7500
Fe1 0.6250 0.8750 0.7500
Fe2 0.3750 0.1250 0.2500
Cl1 0.2557 0.6899 0.9342
Cl2 0.6240 0.6899 0.5658
Cl3 0.1899 0.1241 0.0658
Cl4 0.7443 0.3101 0.0658
Cl5 0.1899 0.7557 0.4342
Cl6 0.8101 0.8759 0.9342
Cl7 0.3760 0.3101 0.4342
Cl8 0.8101 0.2443 0.5658



ΔE_f (raw) of number 1 (SrFeCl4)? -1.5622 eV/atom



Among the records above, which one has the highest uncorrected energy? SrFeCl4